No. 1
First-principles (GGA-PBE) data for crystalline Mn2FeRhN at its relaxed geometry, as listed in Alexandria.

Structure (POSCAR):
```
Mn2FeRhN
1.0
3.757 0.000 0.000
0.000 3.757 0.000
0.000 0.000 3.750
Mn Fe Rh N
2 1 1 1
Direct
0.000 0.500 0.000 Mn
0.500 0.000 0.000 Mn
0.000 0.000 0.500 Fe
0.500 0.500 0.500 Rh
0.000 0.000 0.000 N
```

symmetry = P4/mmm
formation energy without anion corrections = -0.05 eV/atom

***

No. 2
First-principles (GGA-PBE) data for crystalline NaCuBr5 at its relaxed geometry, as listed in Alexandria.

Structure (POSCAR):
```
NaCuBr5
1.0
6.322 -5.512 0.000
6.322 5.512 0.000
-5.054 0.000 8.548
Na Cu Br
2 2 10
Direct
0.246 0.754 0.750 Na
0.754 0.246 0.250 Na
0.000 0.000 0.000 Cu
0.000 0.000 0.500 Cu
0.000 0.302 0.116 Br
0.000 0.698 0.884 Br
0.026 0.974 0.250 Br
0.302 0.000 0.616 Br
0.357 0.564 0.974 Br
0.436 0.643 0.526 Br
0.564 0.357 0.474 Br
0.643 0.436 0.026 Br
0.698 0.000 0.384 Br
0.974 0.026 0.750 Br
```

symmetry = C2/c
formation energy without anion corrections = -0.49 eV/atom

***

No. 3
First-principles (GGA-PBE) data for crystalline HfCo6Ge4 at its relaxed geometry, as listed in Alexandria.

Structure (POSCAR):
```
HfCo6Ge4
1.0
-3.030 3.030 4.294
3.030 -3.030 4.294
3.030 3.030 -4.294
Hf Co Ge
1 6 4
Direct
0.000 0.000 0.000 Hf
0.000 0.500 0.500 Co
0.253 0.253 0.682 Co
0.429 0.747 0.000 Co
0.500 0.000 0.500 Co
0.571 0.571 0.318 Co
0.747 0.429 0.000 Co
0.107 0.522 0.000 Ge
0.478 0.478 0.585 Ge
0.522 0.107 0.000 Ge
0.893 0.893 0.415 Ge
```

symmetry = I-42m
ΔH_f (0 K) = -0.7 eV per formula unit

***

No. 4
First-principles (GGA-PBE) data for crystalline MgSn2Te4 at its relaxed geometry, as listed in Alexandria.

Structure (POSCAR):
```
MgSn2Te4
1.0
7.445 -2.239 0.000
7.445 2.239 0.000
-2.523 0.000 6.700
Mg Sn Te
1 2 4
Direct
0.000 0.000 0.000 Mg
0.280 0.280 0.301 Sn
0.720 0.720 0.699 Sn
0.087 0.087 0.453 Te
0.368 0.368 0.998 Te
0.632 0.632 0.002 Te
0.913 0.913 0.547 Te
```

symmetry = C2/m
formation energy without anion corrections = -0.36 eV/atom

***

No. 5
First-principles (GGA-PBE) data for crystalline Sr2MoC at its relaxed geometry, as listed in Alexandria.

Structure (POSCAR):
```
Sr2MoC
1.0
-5.386 5.386 2.048
5.386 -5.386 2.048
5.386 5.386 -2.048
Sr Mo C
4 2 2
Direct
0.375 0.192 0.317 Sr
0.808 0.125 0.183 Sr
0.875 0.058 0.683 Sr
0.942 0.625 0.817 Sr
0.250 0.750 0.500 Mo
0.500 0.500 0.000 Mo
0.000 0.000 0.000 C
0.750 0.250 0.500 C
```

symmetry = I-42d
ΔH_f (0 K) = 2.3 eV per formula unit